[1]
Density functional theory data (PBE) for a geometry-optimized RbBiS2O6 structure.

calculated volume	17.51	A^3/atom
space-group type	No. 15
E	-56.8	eV per formula unit
density	4.3	Mg/m³
raw formation energy	-135.03	kJ per mole of atoms

Cell lengths 6.9912, 6.9912, 8.2894 Å; angles 110.87, 110.87, 89.89 degrees
Closest atoms and distances in Å follow each position.
Fractional positions:
Rb  0.0678  0.9322  0.7500  6 O 2.88-3.21
Rb  0.9322  0.0678  0.2500  6 O 2.88-3.21
Bi  0.3683  0.6317  0.2500  6 O 2.31-2.55
Bi  0.6317  0.3683  0.7500  6 O 2.31-2.55
S  0.1254  0.4562  0.7489  3 O 1.54-1.56
S  0.4562  0.1254  0.2489  3 O 1.54-1.56
S  0.5438  0.8746  0.7511  3 O 1.54-1.56
S  0.8746  0.5438  0.2511  3 O 1.54-1.56
O  0.0234  0.6534  0.1971  1 S 1.56
O  0.2494  0.2841  0.6807  1 S 1.54
O  0.2793  0.6150  0.9373  1 S 1.55
O  0.2841  0.2494  0.1807  1 S 1.54
O  0.3466  0.9766  0.3029  1 S 1.56
O  0.3850  0.7207  0.5627  1 S 1.55
O  0.6150  0.2793  0.4373  1 S 1.55
O  0.6534  0.0234  0.6971  1 S 1.56
O  0.7159  0.7506  0.8193  1 S 1.54
O  0.7207  0.3850  0.0627  1 S 1.55
O  0.7506  0.7159  0.3193  1 S 1.54
O  0.9766  0.3466  0.8029  1 S 1.56

[2]
Density functional theory data (PBE) for a geometry-optimized Rb2Bi2SbO6 structure.

calculated volume	19.57	A^3/atom
space-group type	No. 12
E	-56.9	eV per formula unit
density	6.2	Mg/m³
raw formation energy	-117.08	kJ per mole of atoms

Cell lengths 6.3528, 6.3528, 7.0996 Å; angles 114.14, 114.14, 58.24 degrees
Closest atoms and distances in Å follow each position.
Fractional positions:
Rb  0.2003  0.2003  0.1316  5 O 2.90-2.93
Rb  0.7997  0.7997  0.8684  5 O 2.90-2.93
Bi  0.4225  0.4225  0.7225  3 O 2.19-2.28
Bi  0.5775  0.5775  0.2775  3 O 2.19-2.28
Sb  0.0000  0.0000  0.5000  6 O 2.00-2.06
O  0.1781  0.7124  0.2665  1 Sb 2.06, 1 Bi 2.19
O  0.1904  0.1904  0.5370  1 Sb 2.00
O  0.2876  0.8219  0.7335  1 Sb 2.06, 1 Bi 2.19
O  0.7124  0.1781  0.2665  1 Sb 2.06, 1 Bi 2.19
O  0.8096  0.8096  0.4630  1 Sb 2.00
O  0.8219  0.2876  0.7335  1 Sb 2.06, 1 Bi 2.19

[3]
Density functional theory data (PBE) for a geometry-optimized RbBi2SbO6 structure.

calculated volume	17.31	A^3/atom
space-group type	No. 146
E	-56.2	eV per formula unit
density	6.9	Mg/m³
raw formation energy	-131.33	kJ per mole of atoms

Cell lengths 6.5964, 6.5964, 6.5964 Å; angles 53.70, 53.70, 53.70 degrees
Closest atoms and distances in Å follow each position.
Fractional positions:
Rb  0.0000  0.0000  0.0000  3 O 2.78
Bi  0.2261  0.2261  0.2261  3 O 2.22
Bi  0.7552  0.7552  0.7552  3 O 2.23
Sb  0.5518  0.5518  0.5518  6 O 2.03-2.05
O  0.1752  0.5449  0.7474  1 Sb 2.03, 1 Bi 2.23
O  0.4290  0.9316  0.5233  1 Sb 2.05, 1 Bi 2.22
O  0.5233  0.4290  0.9316  1 Sb 2.05, 1 Bi 2.22
O  0.5449  0.7474  0.1752  1 Sb 2.03, 1 Bi 2.23
O  0.7474  0.1752  0.5449  1 Sb 2.03, 1 Bi 2.23
O  0.9316  0.5233  0.4290  1 Sb 2.05, 1 Bi 2.22

[4]
Density functional theory data (PBE) for a geometry-optimized Rb3BiSb2O9 structure.

calculated volume	14.69	A^3/atom
space-group type	No. 164
E	-78.7	eV per formula unit
density	6.4	Mg/m³
raw formation energy	-122.58	kJ per mole of atoms

Cell lengths 5.9184, 5.9184, 7.2618 Å; angles 90.00, 90.00, 120.00 degrees
Closest atoms and distances in Å follow each position.
Fractional positions:
Rb  0.0000  0.0000  0.0000  12 O 2.95-2.96
Rb  0.3333  0.6667  0.6640  12 O 2.96-2.98
Rb  0.6667  0.3333  0.3360  12 O 2.96-2.98
Bi  0.0000  0.0000  0.5000  6 O 2.20
Sb  0.3333  0.6667  0.1591  6 O 2.02-2.06
Sb  0.6667  0.3333  0.8409  6 O 2.02-2.06
O  0.0000  0.5000  0.0000  2 Sb 2.06
O  0.1743  0.3487  0.3235  1 Sb 2.02, 1 Bi 2.20
O  0.1743  0.8257  0.3235  1 Sb 2.02, 1 Bi 2.20
O  0.3487  0.1743  0.6765  1 Sb 2.02, 1 Bi 2.20
O  0.5000  0.0000  0.0000  2 Sb 2.06
O  0.5000  0.5000  0.0000  2 Sb 2.06
O  0.6513  0.8257  0.3235  1 Sb 2.02, 1 Bi 2.20
O  0.8257  0.1743  0.6765  1 Sb 2.02, 1 Bi 2.20
O  0.8257  0.6513  0.6765  1 Sb 2.02, 1 Bi 2.20

[5]
Density functional theory data (PBE) for a geometry-optimized Rb2BiSb2O6 structure.

calculated volume	20.87	A^3/atom
space-group type	No. 12
E	-58.1	eV per formula unit
density	5.2	Mg/m³
raw formation energy	-125.19	kJ per mole of atoms

Cell lengths 6.1036, 6.1036, 7.6285 Å; angles 111.52, 111.52, 63.56 degrees
Closest atoms and distances in Å follow each position.
Fractional positions:
Rb  0.1997  0.1997  0.1531  3 O 2.85-2.94
Rb  0.8003  0.8003  0.8469  3 O 2.85-2.94
Bi  0.0000  0.0000  0.5000  6 O 2.38-2.39
Sb  0.4296  0.4296  0.7636  3 O 1.94-1.96
Sb  0.5704  0.5704  0.2364  3 O 1.94-1.96
O  0.2204  0.7058  0.2562  1 Sb 1.96
O  0.2417  0.2417  0.5471  1 Sb 1.94
O  0.2942  0.7796  0.7438  1 Sb 1.96
O  0.7058  0.2204  0.2562  1 Sb 1.96
O  0.7583  0.7583  0.4529  1 Sb 1.94
O  0.7796  0.2942  0.7438  1 Sb 1.96

[6]
Density functional theory data (PBE) for a geometry-optimized Rb2ScBiO4 structure.

calculated volume	20.55	A^3/atom
space-group type	No. 5
E	-47.7	eV per formula unit
density	4.9	Mg/m³
raw formation energy	-189.86	kJ per mole of atoms

Cell lengths 8.2933, 8.0489, 6.2008 Å; angles 90.00, 127.40, 90.00 degrees
Closest atoms and distances in Å follow each position.
Fractional positions:
Rb  0.0000  0.0000  0.0000  6 O 2.85-3.11
Rb  0.0000  0.2495  0.5000  6 O 2.96-3.25
Rb  0.5000  0.5000  0.0000  6 O 2.85-3.11
Rb  0.5000  0.7495  0.5000  6 O 2.96-3.25
Sc  0.0000  0.7848  0.5000  4 O 1.96-2.07
Sc  0.5000  0.2848  0.5000  4 O 1.96-2.07
Bi  0.0000  0.5023  0.0000  4 O 2.15-2.34
Bi  0.5000  0.0023  0.0000  4 O 2.15-2.34
O  0.1253  0.6727  0.8703  1 Sc 2.07, 1 Bi 2.15
O  0.2111  0.9356  0.5646  1 Sc 1.96
O  0.2889  0.4356  0.4354  1 Sc 1.96
O  0.3747  0.1727  0.1297  1 Sc 2.07, 1 Bi 2.15
O  0.6253  0.1727  0.8703  1 Sc 2.07, 1 Bi 2.15
O  0.7111  0.4356  0.5646  1 Sc 1.96
O  0.7889  0.9356  0.4354  1 Sc 1.96
O  0.8747  0.6727  0.1297  1 Sc 2.07, 1 Bi 2.15